The following is a GGA-PBEsol calculation of YZnAs2 after structural relaxation, from Alexandria via LeMat-Bulk.

a = 3.839 Å, b = 4.446 Å, c = 4.446 Å
α = 90.00°, β = 90.00°, γ = 90.00°
Sites, in units of the cell vectors:
Y1 0.500 0.500 0.500
As1 0.000 0.500 0.000
As2 0.000 0.000 0.500
Zn1 0.500 0.000 0.000

The following is a GGA-PBEsol calculation of YZnAs2 after structural relaxation, from Alexandria via LeMat-Bulk.

a = 3.897 Å, b = 4.028 Å, c = 5.303 Å
α = 90.00°, β = 102.59°, γ = 90.00°
Sites, in units of the cell vectors:
As1 0.962 0.000 0.853
As2 0.819 0.500 0.326
Zn1 0.379 0.500 0.903
Y1 0.339 0.000 0.418

The following is a GGA-PBEsol calculation of Y2ZnAs after structural relaxation, from Alexandria via LeMat-Bulk.

Its polymorph energy (0 for the lowest one) is 0.247 eV per atom.

a = 4.954 Å, b = 4.954 Å, c = 4.954 Å
α = 60.00°, β = 60.00°, γ = 60.00°
Sites, in units of the cell vectors:
Y1 0.750 0.750 0.750
Y2 0.250 0.250 0.250
As1 0.000 0.000 0.000
Zn1 0.500 0.500 0.500

The following is a GGA-PBEsol calculation of Y2ZnAs after structural relaxation, from Alexandria via LeMat-Bulk.

Its polymorph energy (0 for the lowest one) is 0.077 eV per atom.

a = 3.991 Å, b = 3.991 Å, c = 7.388 Å
α = 74.33°, β = 74.33°, γ = 60.00°
Sites, in units of the cell vectors:
Y1 0.243 0.243 0.271
Y2 0.757 0.757 0.729
As1 0.500 0.500 0.500
Zn1 0.000 0.000 0.000

The following is a GGA-PBEsol calculation of YZnAs after structural relaxation, from Alexandria via LeMat-Bulk.

a = 3.514 Å, b = 3.514 Å, c = 5.501 Å
α = 104.56°, β = 104.56°, γ = 102.30°
Sites, in units of the cell vectors:
Y1 0.337 0.337 0.674
Zn1 0.645 0.645 0.291
As1 0.018 0.018 0.035

The following is a GGA-PBEsol calculation of Y2ZnAs2 after structural relaxation, from Alexandria via LeMat-Bulk.

a = 3.833 Å, b = 7.413 Å, c = 7.413 Å
α = 90.00°, β = 90.00°, γ = 90.00°
Sites, in units of the cell vectors:
Y1 0.500 0.842 0.342
Y2 0.500 0.158 0.658
Y3 0.500 0.342 0.158
Y4 0.500 0.658 0.842
As1 0.000 0.848 0.652
As2 0.000 0.348 0.848
As3 0.000 0.152 0.348
As4 0.000 0.652 0.152
Zn1 0.000 0.000 0.000
Zn2 0.000 0.500 0.500

The following is a GGA-PBEsol calculation of YZn2As after structural relaxation, from Alexandria via LeMat-Bulk.

a = 4.760 Å, b = 4.760 Å, c = 4.760 Å
α = 60.00°, β = 60.00°, γ = 60.00°
Sites, in units of the cell vectors:
As1 0.500 0.500 0.500
Zn1 0.000 0.000 0.000
Zn2 0.250 0.250 0.250
Y1 0.750 0.750 0.750

The following is a GGA-PBEsol calculation of YZnAs2 after structural relaxation, from Alexandria via LeMat-Bulk.

a = 3.654 Å, b = 3.712 Å, c = 5.769 Å
α = 92.28°, β = 90.00°, γ = 90.00°
Sites, in units of the cell vectors:
As1 0.000 0.022 0.756
As2 0.000 0.978 0.244
Y1 0.500 0.500 0.500
Zn1 0.500 0.500 0.000

The following is a GGA-PBEsol calculation of YZnAs after structural relaxation, from Alexandria via LeMat-Bulk.

a = 4.000 Å, b = 4.122 Å, c = 4.122 Å
α = 120.00°, β = 90.00°, γ = 90.00°
Sites, in units of the cell vectors:
As1 0.103 0.000 0.000
Zn1 0.243 0.333 0.667
Y1 0.654 0.667 0.333

The following is a GGA-PBEsol calculation of YZn2As after structural relaxation, from Alexandria via LeMat-Bulk.

a = 3.889 Å, b = 3.889 Å, c = 5.014 Å
α = 90.00°, β = 90.00°, γ = 90.00°
Sites, in units of the cell vectors:
Zn1 0.000 0.500 0.145
Zn2 0.500 0.000 0.145
Y1 0.500 0.500 0.675
As1 0.000 0.000 0.535

The following is a GGA-PBEsol calculation of YZnAs2 after structural relaxation, from Alexandria via LeMat-Bulk.

a = 3.945 Å, b = 4.084 Å, c = 5.531 Å
α = 102.71°, β = 110.89°, γ = 90.00°
Sites, in units of the cell vectors:
As1 0.978 0.062 0.956
As2 0.233 0.606 0.465
Y1 0.522 0.587 0.045
Zn1 0.767 0.246 0.534

The following is a GGA-PBEsol calculation of YZn2As after structural relaxation, from Alexandria via LeMat-Bulk.

a = 4.022 Å, b = 4.022 Å, c = 4.552 Å
α = 90.00°, β = 90.00°, γ = 90.00°
Sites, in units of the cell vectors:
As1 0.500 0.500 0.500
Zn1 0.500 0.000 0.000
Zn2 0.000 0.500 0.000
Y1 0.000 0.000 0.500

For reference, calculated formation energy by record: -624 -611 -658 -828 -540 -1014 -260 -525 -790 -566 -665 -545 meV per atom.